Ti3SbMo | PBE | optimized geometry

The space group is Pm-3m (No. 221) and the conventional cell measures 4.748, 4.748 and 4.748 Å, with angles of 90.00, 90.00 and 90.00 degrees. The inequivalent atoms are Ti at (0.000, 0.000, 0.500), Sb at (0.500, 0.500, 0.500) and Mo at (0.000, 0.000, 0.000).

As for the uncorrected formation energy: 0.5560 eV per atom. The value obtained for the density is 5.60 g/cm³. As for the total magnetization: 1.50 μB/cell. The energy above the most stable polymorph in this dataset is 0.0 meV/atom. The value obtained for the total energy is -7.17 eV per atom.